Record 1
This record from Alexandria via LeMat-Bulk describes a relaxed Ba8Sn2Sb crystal. The functional is GGA-PBE.

Properties
The value obtained for the spin magnetization is 0.038 μB/atom. Its formation energy from raw total energies is -0.499 eV per atom. The value obtained for the density of states at the Fermi level is 0.8425 states/eV per atom.

Unit cell a=22.6476 b=5.8155 c=8.1534 alpha=90.00 beta=103.57 gamma=90.00
With the nearest neighbours (Å) after each atom.
Space group C2/m (No. 12)
One atom of each set of equivalent atoms:
Ba (0.0349, 0.0000, 0.2924)  2 Sb 3.55, 1 Sn 3.61
Ba (0.0927, 0.5000, 0.9321)  1 Sb 3.65, 2 Sn 4.06
Ba (0.1611, 0.5000, 0.4705)  3 Sn 3.64-3.72, 1 Sb 3.71, 3 Ba 4.02-4.05
Ba (0.2172, 0.0000, 0.8181)  3 Sn 3.57-3.70
Sn (0.1874, 0.0000, 0.2289)  7 Ba 3.57-3.72
Sb (0.0000, 0.5000, 0.5000)  8 Ba 3.55-3.71

=====

Record 2
This record from Alexandria via LeMat-Bulk describes a relaxed AlTlRu2 crystal. The functional is GGA-PBE.

Properties
As for the distance to the lowest polymorph of the same formula: 500 meV/atom. The value obtained for the spin magnetization is 0.188 μB/atom. The value obtained for the density of states at the Fermi level is 1.4960 states/eV per atom. The formation energy is 0.5422 eV per atom.

Unit cell a=4.1228 b=4.1228 c=17.9640 alpha=90.00 beta=90.00 gamma=90.00
With the nearest neighbours (Å) after each atom.
Space group I-42d (No. 122)
One atom of each set of equivalent atoms:
Al (0.0000, 0.0000, 0.0000)  4 Ru 2.56
Tl (0.0000, 0.0000, 0.5000)  4 Ru 2.84, 4 Al 2.92
Ru (0.1614, 0.2500, 0.1250)  2 Ru 2.45, 2 Al 2.56

=====

Record 3
This record from Alexandria via LeMat-Bulk describes a relaxed Ac4Bi2SbAs crystal. The functional is GGA-PBE.

Properties
The value obtained for the spin magnetization is 0.000 μB/atom. Its formation energy from raw total energies is -1.158 eV per atom. The value obtained for the density of states at the Fermi level is 0.0935 states/eV per atom.

Unit cell a=8.2720 b=4.7721 c=8.2876 alpha=90.00 beta=109.36 gamma=90.00
With the nearest neighbours (Å) after each atom.
Space group P2/m (No. 10)
One atom of each set of equivalent atoms:
Ac (0.2390, 0.0000, 0.2360)  2 As 3.30, 1 Sb 3.36, 3 Bi 3.40-3.47
Ac (0.2464, 0.5000, 0.7595)  1 As 3.29, 2 Sb 3.36, 3 Bi 3.40-3.47
Bi (0.0000, 0.0000, 0.5000)  6 Ac 3.40
Bi (0.5000, 0.5000, 0.5000)  6 Ac 3.47
Sb (0.5000, 0.0000, 0.0000)  6 Ac 3.36
As (0.0000, 0.5000, 0.0000)  6 Ac 3.29-3.30

=====

Record 4
This record from Alexandria via LeMat-Bulk describes a relaxed MgGaIr2Pd crystal. The functional is GGA-PBE.

Properties
The value obtained for the spin magnetization is 0.001 μB/atom. The value obtained for the density of states at the Fermi level is 1.6546 states/eV per atom. The formation energy is 0.5335 eV per atom.

Unit cell a=4.5873 b=4.5873 c=4.5698 alpha=90.00 beta=90.00 gamma=90.00
With the nearest neighbours (Å) after each atom.
Space group P4/mmm (No. 123)
One atom of each set of equivalent atoms:
Mg (0.0000, 0.0000, 0.0000)  8 Ir 3.24, 4 Pd 3.24
Ga (0.5000, 0.5000, 0.5000)  2 Pd 2.28, 4 Ir 2.29
Ir (0.0000, 0.5000, 0.5000)  2 Ga 2.29
Pd (0.5000, 0.5000, 0.0000)  2 Ga 2.28

=====

Record 5
This record from Alexandria via LeMat-Bulk describes a relaxed Ce4PaN5 crystal. The functional is GGA-PBE.

Properties
The value obtained for the spin magnetization is 0.000 μB/atom. Its formation energy from raw total energies is -1.555 eV per atom. The value obtained for the density of states at the Fermi level is 1.0765 states/eV per atom.

Unit cell a=7.9439 b=7.9439 c=5.0330 alpha=90.00 beta=90.00 gamma=90.00
With the nearest neighbours (Å) after each atom.
Space group I4/m (No. 87)
One atom of each set of equivalent atoms:
Ce (0.0986, 0.3010, 0.0000)  6 N 2.51-2.62
Pa (0.0000, 0.0000, 0.5000)  6 N 2.39-2.52
N (0.0000, 0.0000, 0.0000)  4 Ce 2.52, 2 Pa 2.52
N (0.0954, 0.2851, 0.5000)  1 Pa 2.39, 5 Ce 2.51-2.62

=====

Record 6
This record from Alexandria via LeMat-Bulk describes a relaxed Li2AlAg2 crystal. The functional is GGA-PBE.

Properties
As for the distance to the lowest polymorph of the same formula: 142 meV/atom. The value obtained for the spin magnetization is 0.000 μB/atom. The value obtained for the density of states at the Fermi level is 0.3141 states/eV per atom. The formation energy is -0.0839 eV per atom.

Unit cell a=7.0022 b=7.0022 c=3.1932 alpha=90.00 beta=90.00 gamma=90.00
With the nearest neighbours (Å) after each atom.
Space group P4/mbm (No. 127)
One atom of each set of equivalent atoms:
Li (0.1271, 0.3729, 0.0000)  1 Li 2.52, 6 Ag 2.55-2.66, 2 Al 2.76
Al (0.0000, 0.0000, 0.0000)  4 Li 2.76, 8 Ag 3.04
Ag (0.1727, 0.6727, 0.5000)  6 Li 2.55-2.66